The following is a DFT calculation (PBE) of crystalline CePuSnAu at its relaxed geometry.

Computed properties:
N(E_F)   14.89 states/eV/f.u.
Mass density   10.9 Mg/m³
Total magnetic moment   28.10 μB per cell
Excess energy over the best structure of this formula in the dataset   0.36 kcal/mol of atoms
DFT formation energy   -0.458 eV per atom

abc: 7.5208 7.5208 7.5208
angles: 90.00 90.00 90.00
Space group F-43m (No. 216)
Unique sites:
Ce 0.0000 0.0000 0.0000 [4 per cell]
Pu 0.0000 0.0000 0.5000 [4 per cell]
Sn 0.2500 0.2500 0.7500 [4 per cell]
Au 0.2500 0.2500 0.2500 [4 per cell]

---

The following is a DFT calculation (PBE) of crystalline Ce2PuSn2Au2 at its relaxed geometry.

Computed properties:
N(E_F)   16.89 states/eV/f.u.
Mass density   10.6 Mg/m³
Total magnetic moment   25.29 μB per cell
DFT formation energy   -0.416 eV per atom

abc: 5.0152 5.0152 24.9176
angles: 90.00 90.00 120.00
Space group R-3m (No. 166, hexagonal axes)
Unique sites:
Ce 0.0000 0.0000 0.1223 [6 per cell]
Pu 0.0000 0.0000 0.0000 [3 per cell]
Sn 0.0000 0.0000 0.2656 [6 per cell]
Au 0.0000 0.0000 0.3980 [6 per cell]

---

The following is a DFT calculation (PBE) of crystalline CePu2Sn2Au2 at its relaxed geometry.

Computed properties:
N(E_F)   19.24 states/eV/f.u.
Mass density   11.9 Mg/m³
Total magnetic moment   36.32 μB per cell
DFT formation energy   -0.444 eV per atom

abc: 4.8050 4.8050 26.2672
angles: 90.00 90.00 120.00
Space group R-3m (No. 166, hexagonal axes)
Unique sites:
Ce 0.0000 0.0000 0.0000 [3 per cell]
Pu 0.0000 0.0000 0.1415 [6 per cell]
Sn 0.0000 0.0000 0.2668 [6 per cell]
Au 0.0000 0.0000 0.4316 [6 per cell]

---

The following is a DFT calculation (PBE) of crystalline CePuSnAu at its relaxed geometry.

Computed properties:
N(E_F)   12.24 states/eV/f.u.
Mass density   11.5 Mg/m³
Total magnetic moment   6.84 μB per cell
Excess energy over the best structure of this formula in the dataset   0.00 kcal/mol of atoms
DFT formation energy   -0.474 eV per atom

abc: 4.0748 4.0748 6.0743
angles: 90.00 90.00 90.00
Space group P4mm (No. 99)
Unique sites:
Ce 0.0000 0.0000 0.0000 [1 per cell]
Pu 0.0000 0.0000 0.4952 [1 per cell]
Sn 0.5000 0.5000 0.2536 [1 per cell]
Au 0.5000 0.5000 0.7494 [1 per cell]

---

The following is a DFT calculation (PBE) of crystalline CePuTcAu at its relaxed geometry.

Computed properties:
N(E_F)   11.40 states/eV/f.u.
Mass density   12.8 Mg/m³
Total magnetic moment   21.17 μB per cell
DFT formation energy   -0.128 eV per atom

abc: 7.0629 7.0629 7.0629
angles: 90.00 90.00 90.00
Space group F-43m (No. 216)
Unique sites:
Ce 0.0000 0.0000 0.0000 [4 per cell]
Pu 0.0000 0.0000 0.5000 [4 per cell]
Tc 0.2500 0.2500 0.2500 [4 per cell]
Au 0.2500 0.2500 0.7500 [4 per cell]

---

The following is a DFT calculation (PBE) of crystalline CePuTeAu at its relaxed geometry.

Computed properties:
N(E_F)   13.45 states/eV/f.u.
Mass density   11.1 Mg/m³
Formation energy without anion corrections   -0.7224 eV/atom
Total magnetic moment   34.71 μB per cell

abc: 7.5230 7.5230 7.5230
angles: 90.00 90.00 90.00
Space group F-43m (No. 216)
Unique sites:
Ce 0.0000 0.0000 0.0000 [4 per cell]
Pu 0.0000 0.0000 0.5000 [4 per cell]
Te 0.2500 0.2500 0.7500 [4 per cell]
Au 0.2500 0.2500 0.2500 [4 per cell]

---

The following is a DFT calculation (PBE) of crystalline Ce6PuTl2Au at its relaxed geometry.

Computed properties:
N(E_F)   15.49 states/eV/f.u.
Mass density   9.6 Mg/m³
Total magnetic moment   0.00 μB per cell
DFT formation energy   -0.304 eV per atom

abc: 6.9755 7.8187 12.5673
angles: 90.00 121.58 90.00
Space group P2_1/c (No. 14)
Unique sites:
Ce 0.1475 0.0122 0.2263 [4 per cell]
Ce 0.1874 0.7216 0.0334 [4 per cell]
Ce 0.3336 0.1580 0.0334 [4 per cell]
Pu 0.0000 0.0000 0.0000 [2 per cell]
Tl 0.2924 0.0814 0.7436 [4 per cell]
Au 0.5000 0.0000 0.5000 [2 per cell]

---

The following is a DFT calculation (PBE) of crystalline CePuZnAu at its relaxed geometry.

Computed properties:
N(E_F)   14.49 states/eV/f.u.
Mass density   11.1 Mg/m³
Total magnetic moment   26.53 μB per cell
Excess energy over the best structure of this formula in the dataset   1.69 kcal/mol of atoms
DFT formation energy   -0.282 eV per atom

abc: 7.2829 7.2829 7.2829
angles: 90.00 90.00 90.00
Space group F-43m (No. 216)
Unique sites:
Ce 0.0000 0.0000 0.0000 [4 per cell]
Pu 0.0000 0.0000 0.5000 [4 per cell]
Zn 0.2500 0.2500 0.2500 [4 per cell]
Au 0.2500 0.2500 0.7500 [4 per cell]

---

The following is a DFT calculation (PBE) of crystalline CePuZnAu at its relaxed geometry.

Computed properties:
N(E_F)   2.70 states/eV/f.u.
Mass density   12.6 Mg/m³
Total magnetic moment   14.01 μB per cell
Excess energy over the best structure of this formula in the dataset   0.00 kcal/mol of atoms
DFT formation energy   -0.355 eV per atom

abc: 4.9271 4.9271 7.0024
angles: 90.00 90.00 90.00
Space group I-4m2 (No. 119)
Unique sites:
Ce 0.0000 0.0000 0.0000 [2 per cell]
Pu 0.0000 0.5000 0.2500 [2 per cell]
Zn 0.0000 0.5000 0.7500 [2 per cell]
Au 0.0000 0.0000 0.5000 [2 per cell]

---

The following is a DFT calculation (PBE) of crystalline RbCe2AuS4 at its relaxed geometry.

Computed properties:
N(E_F)   12.89 states/eV/f.u.
Mass density   5.4 Mg/m³
Formation energy without anion corrections   -1.5009 eV/atom
Total magnetic moment   8.06 μB per cell

abc: 4.1794 14.0949 14.3362
angles: 90.00 90.00 90.00
Space group Cmcm (No. 63)
Unique sites:
Rb 0.0000 0.1152 0.2500 [4 per cell]
Ce 0.0000 0.3697 0.0629 [8 per cell]
Au 0.0000 0.1592 0.7500 [4 per cell]
S 0.0000 0.0000 0.0000 [4 per cell]
S 0.0000 0.2607 0.6037 [8 per cell]
S 0.0000 0.4389 0.2500 [4 per cell]

---

The following is a DFT calculation (PBE) of crystalline RbCe2Au2S6 at its relaxed geometry.

Computed properties:
N(E_F)   6.19 states/eV/f.u.
Mass density   5.0 Mg/m³
Formation energy without anion corrections   -1.0616 eV/atom
Total magnetic moment   0.00 μB per cell

abc: 7.3634 7.3849 7.7168
angles: 118.45 92.13 114.95
Space group P-1 (No. 2)
Unique sites:
Rb 0.0000 0.0000 0.0000 [1 per cell]
Ce 0.0156 0.3456 0.6722 [2 per cell]
Au 0.4472 0.9372 0.6915 [2 per cell]
S 0.2156 0.1007 0.6584 [2 per cell]
S 0.2311 0.7291 0.0734 [2 per cell]
S 0.2354 0.5239 0.4533 [2 per cell]

---

The following is a DFT calculation (PBE) of crystalline RbCe4Au3S12 at its relaxed geometry.

Computed properties:
N(E_F)   17.05 states/eV/f.u.
Mass density   5.3 Mg/m³
Formation energy without anion corrections   -1.0400 eV/atom
Total magnetic moment   3.78 μB per cell

abc: 10.0551 10.0551 10.0551
angles: 90.00 90.00 90.00
Space group Im-3 (No. 204)
Unique sites:
Rb 0.0000 0.0000 0.0000 [2 per cell]
Ce 0.2500 0.2500 0.2500 [8 per cell]
Au 0.0000 0.0000 0.5000 [6 per cell]
S 0.0000 0.1620 0.3218 [24 per cell]

---

mass density of number 9 (CePuZnAu)?
12.6 Mg/m³